--- A ---
# CdGaHg2I (PBE, relaxed)
data_CdGaHg2I
_chemical_formula_sum 'Cd1 Ga1 Hg2 I1'
_cell_length_a 5.4767
_cell_length_b 5.4767
_cell_length_c 5.9074
_cell_angle_alpha 90.00
_cell_angle_beta 90.00
_cell_angle_gamma 90.00
_space_group_name_H-M_alt 'P 4/m m m'
_space_group_IT_number 123
_space_group_name_Hall '-P 4 2'
loop_
_atom_site_label
_atom_site_fract_x
_atom_site_fract_y
_atom_site_fract_z
_atom_site_occupancy
Cd1 0.0000 0.0000 0.0000 1
Ga1 0.5000 0.5000 0.5000 1
Hg1 0.0000 0.5000 0.5000 1
I1 0.5000 0.5000 0.0000 1
# Crystal system   tetragonal
# D(E_F)   1.4 states/eV/f.u.

--- B ---
# CdGaHg2I (PBE, relaxed)
data_CdGaHg2I
_chemical_formula_sum 'Cd1 Ga1 Hg2 I1'
_cell_length_a 5.3972
_cell_length_b 5.3972
_cell_length_c 5.3680
_cell_angle_alpha 90.00
_cell_angle_beta 90.00
_cell_angle_gamma 90.00
_space_group_name_H-M_alt 'P 4/m m m'
_space_group_IT_number 123
_space_group_name_Hall '-P 4 2'
loop_
_atom_site_label
_atom_site_fract_x
_atom_site_fract_y
_atom_site_fract_z
_atom_site_occupancy
Cd1 0.0000 0.0000 0.0000 1
Ga1 0.0000 0.0000 0.5000 1
Hg1 0.0000 0.5000 0.5000 1
I1 0.5000 0.5000 0.0000 1
# Crystal system   tetragonal
# D(E_F)   3.7 states/eV/f.u.

Energies relative to the minimum, eV/atom: A 0.044; B 0.000

--- A ---
# KCdGaHg2 (PBE, relaxed)
data_KCdGaHg2
_chemical_formula_sum 'K1 Cd1 Ga1 Hg2'
_cell_length_a 5.4878
_cell_length_b 5.4878
_cell_length_c 6.2953
_cell_angle_alpha 90.00
_cell_angle_beta 90.00
_cell_angle_gamma 90.00
_space_group_name_H-M_alt 'P 4/m m m'
_space_group_IT_number 123
_space_group_name_Hall '-P 4 2'
loop_
_atom_site_label
_atom_site_fract_x
_atom_site_fract_y
_atom_site_fract_z
_atom_site_occupancy
K1 0.0000 0.0000 0.0000 1
Cd1 0.0000 0.0000 0.5000 1
Ga1 0.5000 0.5000 0.0000 1
Hg1 0.0000 0.5000 0.5000 1
# Crystal system   tetragonal
# D(E_F)   2.9 states/eV/f.u.

--- B ---
# KCdGaHg2 (PBE, relaxed)
data_KCdGaHg2
_chemical_formula_sum 'K1 Cd1 Ga1 Hg2'
_cell_length_a 5.4119
_cell_length_b 5.4119
_cell_length_c 5.4299
_cell_angle_alpha 90.00
_cell_angle_beta 90.00
_cell_angle_gamma 90.00
_space_group_name_H-M_alt 'P 4/m m m'
_space_group_IT_number 123
_space_group_name_Hall '-P 4 2'
loop_
_atom_site_label
_atom_site_fract_x
_atom_site_fract_y
_atom_site_fract_z
_atom_site_occupancy
K1 0.0000 0.0000 0.0000 1
Cd1 0.5000 0.5000 0.0000 1
Ga1 0.5000 0.5000 0.5000 1
Hg1 0.0000 0.5000 0.5000 1
# Crystal system   tetragonal
# D(E_F)   2.2 states/eV/f.u.

Energies relative to the minimum, eV/atom: A 0.345; B 0.000

--- A ---
# RbCdGaHg2 (PBE, relaxed)
data_RbCdGaHg2
_chemical_formula_sum 'Rb1 Cd1 Ga1 Hg2'
_cell_length_a 5.7370
_cell_length_b 5.7370
_cell_length_c 5.3202
_cell_angle_alpha 90.00
_cell_angle_beta 90.00
_cell_angle_gamma 90.00
_space_group_name_H-M_alt 'P 4/m m m'
_space_group_IT_number 123
_space_group_name_Hall '-P 4 2'
loop_
_atom_site_label
_atom_site_fract_x
_atom_site_fract_y
_atom_site_fract_z
_atom_site_occupancy
Rb1 0.0000 0.0000 0.0000 1
Cd1 0.5000 0.5000 0.5000 1
Ga1 0.5000 0.5000 0.0000 1
Hg1 0.0000 0.5000 0.5000 1
# Crystal system   tetragonal
# D(E_F)   1.9 states/eV/f.u.

--- B ---
# RbCdGaHg2 (PBE, relaxed)
data_RbCdGaHg2
_chemical_formula_sum 'Rb1 Cd1 Ga1 Hg2'
_cell_length_a 5.4807
_cell_length_b 5.4807
_cell_length_c 5.4725
_cell_angle_alpha 90.00
_cell_angle_beta 90.00
_cell_angle_gamma 90.00
_space_group_name_H-M_alt 'P 4/m m m'
_space_group_IT_number 123
_space_group_name_Hall '-P 4 2'
loop_
_atom_site_label
_atom_site_fract_x
_atom_site_fract_y
_atom_site_fract_z
_atom_site_occupancy
Rb1 0.0000 0.0000 0.0000 1
Cd1 0.5000 0.5000 0.0000 1
Ga1 0.5000 0.5000 0.5000 1
Hg1 0.0000 0.5000 0.5000 1
# Crystal system   tetragonal
# D(E_F)   2.4 states/eV/f.u.

Energies relative to the minimum, eV/atom: A 0.096; B 0.000

--- A ---
# ScCdGaHg (PBE, relaxed)
data_ScCdGaHg
_chemical_formula_sum 'Sc4 Cd4 Ga4 Hg4'
_cell_length_a 6.9230
_cell_length_b 6.9230
_cell_length_c 6.9230
_cell_angle_alpha 90.00
_cell_angle_beta 90.00
_cell_angle_gamma 90.00
_space_group_name_H-M_alt 'F -4 3 m'
_space_group_IT_number 216
_space_group_name_Hall 'F -4 2 3'
loop_
_atom_site_label
_atom_site_fract_x
_atom_site_fract_y
_atom_site_fract_z
_atom_site_occupancy
Sc1 0.0000 0.0000 0.0000 1
Cd1 0.0000 0.0000 0.5000 1
Ga1 0.2500 0.2500 0.2500 1
Hg1 0.2500 0.2500 0.7500 1
# Crystal system   cubic
# D(E_F)   0.8 states/eV/f.u.

--- B ---
# ScCdGaHg (PBE, relaxed)
data_ScCdGaHg
_chemical_formula_sum 'Sc1 Cd1 Ga1 Hg1'
_cell_length_a 4.0323
_cell_length_b 4.4439
_cell_length_c 4.6015
_cell_angle_alpha 90.00
_cell_angle_beta 90.00
_cell_angle_gamma 90.00
_space_group_name_H-M_alt 'P m m m'
_space_group_IT_number 47
loop_
_space_group_symop_operation_xyz
'x,y,z'
'-x,-y,-z'
'-x,-y,z'
'x,y,-z'
'x,-y,-z'
'-x,y,z'
'-x,y,-z'
'x,-y,z'
loop_
_atom_site_label
_atom_site_fract_x
_atom_site_fract_y
_atom_site_fract_z
_atom_site_occupancy
Sc1 0.0000 0.0000 0.0000 1
Cd1 0.0000 0.5000 0.5000 1
Ga1 0.5000 0.5000 0.0000 1
Hg1 0.5000 0.0000 0.5000 1
# Crystal system   orthorhombic
# D(E_F)   2.2 states/eV/f.u.

Energies relative to the minimum, eV/atom: A 0.054; B 0.000

--- A ---
# CdGaSnHg (PBE, relaxed)
data_CdGaSnHg
_chemical_formula_sum 'Cd4 Ga4 Sn4 Hg4'
_cell_length_a 7.2894
_cell_length_b 7.2894
_cell_length_c 7.2894
_cell_angle_alpha 90.00
_cell_angle_beta 90.00
_cell_angle_gamma 90.00
_space_group_name_H-M_alt 'F -4 3 m'
_space_group_IT_number 216
_space_group_name_Hall 'F -4 2 3'
loop_
_atom_site_label
_atom_site_fract_x
_atom_site_fract_y
_atom_site_fract_z
_atom_site_occupancy
Cd1 0.0000 0.0000 0.0000 1
Ga1 0.0000 0.0000 0.5000 1
Sn1 0.2500 0.2500 0.2500 1
Hg1 0.2500 0.2500 0.7500 1
# Crystal system   cubic
# D(E_F)   2.9 states/eV/f.u.

--- B ---
# CdGaSnHg (PBE, relaxed)
data_CdGaSnHg
_chemical_formula_sum 'Cd1 Ga1 Sn1 Hg1'
_cell_length_a 3.3805
_cell_length_b 3.3805
_cell_length_c 8.3498
_cell_angle_alpha 90.00
_cell_angle_beta 90.00
_cell_angle_gamma 90.00
_space_group_name_H-M_alt 'P 4 m m'
_space_group_IT_number 99
loop_
_space_group_symop_operation_xyz
'x,y,z'
'-y,x,z'
'-x,-y,z'
'y,-x,z'
'-x,y,z'
'y,x,z'
'x,-y,z'
'-y,-x,z'
loop_
_atom_site_label
_atom_site_fract_x
_atom_site_fract_y
_atom_site_fract_z
_atom_site_occupancy
Cd1 0.0000 0.0000 0.0000 1
Ga1 0.5000 0.5000 0.2241 1
Sn1 0.0000 0.0000 0.4611 1
Hg1 0.5000 0.5000 0.7432 1
# Crystal system   tetragonal
# D(E_F)   1.6 states/eV/f.u.

Energies relative to the minimum, eV/atom: A 0.046; B 0.000

--- A ---
# TlCd2GaHg (PBE, relaxed)
data_TlCd2GaHg
_chemical_formula_sum 'Tl1 Cd2 Ga1 Hg1'
_cell_length_a 5.2333
_cell_length_b 5.2333
_cell_length_c 5.6884
_cell_angle_alpha 90.00
_cell_angle_beta 90.00
_cell_angle_gamma 90.00
_space_group_name_H-M_alt 'P 4/m m m'
_space_group_IT_number 123
_space_group_name_Hall '-P 4 2'
loop_
_atom_site_label
_atom_site_fract_x
_atom_site_fract_y
_atom_site_fract_z
_atom_site_occupancy
Tl1 0.0000 0.0000 0.0000 1
Cd1 0.0000 0.5000 0.5000 1
Ga1 0.0000 0.0000 0.5000 1
Hg1 0.5000 0.5000 0.0000 1
# Crystal system   tetragonal
# D(E_F)   2.3 states/eV/f.u.

--- B ---
# TlCd2GaHg (PBE, relaxed)
data_TlCd2GaHg
_chemical_formula_sum 'Tl1 Cd2 Ga1 Hg1'
_cell_length_a 5.3126
_cell_length_b 5.3126
_cell_length_c 5.2767
_cell_angle_alpha 90.00
_cell_angle_beta 90.00
_cell_angle_gamma 90.00
_space_group_name_H-M_alt 'P 4/m m m'
_space_group_IT_number 123
_space_group_name_Hall '-P 4 2'
loop_
_atom_site_label
_atom_site_fract_x
_atom_site_fract_y
_atom_site_fract_z
_atom_site_occupancy
Tl1 0.0000 0.0000 0.0000 1
Cd1 0.0000 0.5000 0.5000 1
Ga1 0.5000 0.5000 0.5000 1
Hg1 0.5000 0.5000 0.0000 1
# Crystal system   tetragonal
# D(E_F)   1.7 states/eV/f.u.

Energies relative to the minimum, eV/atom: A 0.026; B 0.000

--- A ---
# Cd2GaHgW (PBE, relaxed)
data_Cd2GaHgW
_chemical_formula_sum 'Cd2 Ga1 Hg1 W1'
_cell_length_a 4.9287
_cell_length_b 4.9287
_cell_length_c 4.9076
_cell_angle_alpha 90.00
_cell_angle_beta 90.00
_cell_angle_gamma 90.00
_space_group_name_H-M_alt 'P 4/m m m'
_space_group_IT_number 123
_space_group_name_Hall '-P 4 2'
loop_
_atom_site_label
_atom_site_fract_x
_atom_site_fract_y
_atom_site_fract_z
_atom_site_occupancy
Cd1 0.0000 0.5000 0.0000 1
Ga1 0.0000 0.0000 0.0000 1
Hg1 0.5000 0.5000 0.5000 1
W1 0.0000 0.0000 0.5000 1
# Crystal system   tetragonal
# D(E_F)   2.7 states/eV/f.u.

--- B ---
# Cd2GaHgW (PBE, relaxed)
data_Cd2GaHgW
_chemical_formula_sum 'Cd2 Ga1 Hg1 W1'
_cell_length_a 5.1085
_cell_length_b 5.1085
_cell_length_c 5.1135
_cell_angle_alpha 90.00
_cell_angle_beta 90.00
_cell_angle_gamma 90.00
_space_group_name_H-M_alt 'P 4/m m m'
_space_group_IT_number 123
_space_group_name_Hall '-P 4 2'
loop_
_atom_site_label
_atom_site_fract_x
_atom_site_fract_y
_atom_site_fract_z
_atom_site_occupancy
Cd1 0.0000 0.5000 0.0000 1
Ga1 0.0000 0.0000 0.0000 1
Hg1 0.0000 0.0000 0.5000 1
W1 0.5000 0.5000 0.5000 1
# Crystal system   tetragonal
# D(E_F)   4.1 states/eV/f.u.

Energies relative to the minimum, eV/atom: A 0.000; B 0.327

--- A ---
# HoCd2Ga (PBE, relaxed)
data_HoCd2Ga
_chemical_formula_sum 'Ho3 Cd6 Ga3'
_cell_length_a 3.2417
_cell_length_b 3.2417
_cell_length_c 32.8896
_cell_angle_alpha 90.00
_cell_angle_beta 90.00
_cell_angle_gamma 120.00
_space_group_name_H-M_alt 'R -3 m'
_space_group_IT_number 166
_space_group_name_Hall '-R 3 2"'
loop_
_atom_site_label
_atom_site_fract_x
_atom_site_fract_y
_atom_site_fract_z
_atom_site_occupancy
Ho1 0.0000 0.0000 0.0000 1
Cd1 0.0000 0.0000 0.0946 1
Ga1 0.0000 0.0000 0.5000 1
# Crystal system   trigonal
# D(E_F)   2.7 states/eV/f.u.

--- B ---
# HoCd2Ga (PBE, relaxed)
data_HoCd2Ga
_chemical_formula_sum 'Ho1 Cd2 Ga1'
_cell_length_a 4.3188
_cell_length_b 4.3188
_cell_length_c 4.8014
_cell_angle_alpha 90.00
_cell_angle_beta 90.00
_cell_angle_gamma 90.00
_space_group_name_H-M_alt 'P 4/m m m'
_space_group_IT_number 123
_space_group_name_Hall '-P 4 2'
loop_
_atom_site_label
_atom_site_fract_x
_atom_site_fract_y
_atom_site_fract_z
_atom_site_occupancy
Ho1 0.0000 0.0000 0.0000 1
Cd1 0.0000 0.5000 0.5000 1
Ga1 0.5000 0.5000 0.0000 1
# Crystal system   tetragonal
# D(E_F)   2.6 states/eV/f.u.

Energies relative to the minimum, eV/atom: A 0.506; B 0.000